1.
VASP calculation (PBE) on crystalline AcTlBr6 at its relaxed geometry.

Cell and atoms, written as POSCAR:
```
AcTlBr6
1.0
7.204 0.009 0.011
3.594 6.242 0.013
3.590 2.074 6.652
Br Ac Tl
6 1 1
direct
0.232 0.937 0.241
0.410 0.768 0.759
0.937 0.590 0.241
0.590 0.232 0.241
0.063 0.410 0.759
0.768 0.063 0.759
0.500 0.500 0.500
0.000 0.000 0.000
```

Energy relative to the elements, uncorrected = -112.7 kJ per mole of atoms

2.
VASP calculation (PBE) on crystalline Ta2Cu2Tc at its relaxed geometry.

Cell and atoms, written as POSCAR:
```
Ta2Cu2Tc
1.0
-2.522 -6.098 -1.293
4.094 -0.569 -5.304
2.323 -1.372 1.940
Ta Cu Tc
4 4 2
direct
0.182 0.682 0.500
0.818 0.318 0.500
0.682 0.818 0.500
0.318 0.182 0.500
0.622 0.122 0.000
0.378 0.878 0.000
0.122 0.378 0.000
0.878 0.622 0.000
0.500 0.500 0.000
0.000 0.000 0.000
```

DFT formation energy = 117 meV per atom

3.
VASP calculation (PBE) on crystalline AlH2Os at its relaxed geometry.

Cell and atoms, written as POSCAR:
```
AlH2Os
1.0
2.344 0.067 2.844
-1.176 1.044 3.334
-0.313 -2.485 2.706
Al Os H
1 1 2
direct
0.000 0.000 0.000
0.500 0.500 0.500
0.250 0.250 0.250
0.750 0.750 0.750
```

Electronic total energy = -18.8 eV per formula unit

4.
VASP calculation (PBE) on crystalline La2CrPbN at its relaxed geometry.

Cell and atoms, written as POSCAR:
```
La2CrPbN
1.0
5.456 0.000 0.000
0.000 5.456 0.000
0.000 0.000 3.927
La N Pb Cr
2 1 1 1
direct
0.500 0.000 0.000
0.000 0.500 0.000
0.000 0.000 0.000
0.500 0.500 0.500
0.000 0.000 0.500
```

Energy relative to the elements, uncorrected = -57.7 kJ per mole of atoms

5.
VASP calculation (PBE) on crystalline Mg3PaB4O12 at its relaxed geometry.

Cell and atoms, written as POSCAR:
```
Mg3PaB4O12
1.0
6.146 0.051 0.071
-1.431 5.977 0.071
-1.431 -1.830 5.690
O B Mg Pa
12 4 3 1
direct
0.648 0.808 0.038
0.092 0.908 0.500
0.038 0.648 0.808
0.808 0.038 0.648
0.500 0.092 0.908
0.641 0.500 0.359
0.352 0.962 0.192
0.359 0.641 0.500
0.962 0.192 0.352
0.500 0.359 0.641
0.192 0.352 0.962
0.908 0.500 0.092
0.048 0.500 0.952
0.500 0.952 0.048
0.500 0.500 0.500
0.952 0.048 0.500
0.556 0.444 0.000
0.000 0.556 0.444
0.444 0.000 0.556
0.000 0.000 0.000
```

Energy relative to the elements, uncorrected = -249.4 kJ per mole of atoms

6.
VASP calculation (PBE) on crystalline Sc2Zn5Ni4 at its relaxed geometry.

Cell and atoms, written as POSCAR:
```
Sc2Zn5Ni4
1.0
-2.596 1.640 -3.970
0.457 -2.107 -4.342
-7.278 -4.233 -0.163
Sc Zn Ni
2 5 4
direct
0.135 0.000 0.729
0.865 0.000 0.271
0.000 0.500 0.000
0.500 0.500 0.000
0.500 0.000 0.000
0.250 0.500 0.500
0.750 0.500 0.500
0.790 0.675 0.745
0.465 0.325 0.745
0.210 0.325 0.255
0.535 0.675 0.255
```

DFT formation energy = -277 meV per atom

7.
VASP calculation (PBE) on crystalline YZnP2O at its relaxed geometry.

Cell and atoms, written as POSCAR:
```
YZnP2O
1.0
4.725 0.000 0.000
0.000 4.725 0.000
0.000 0.000 3.906
O Y P Zn
1 1 2 1
direct
0.000 0.000 0.500
0.500 0.500 0.500
0.000 0.500 0.000
0.500 0.000 0.000
0.000 0.000 0.000
```

Energy relative to the elements, uncorrected = -30.3 kJ per mole of atoms

8.
VASP calculation (PBE) on crystalline Ce2Ho3Ru2 at its relaxed geometry.

Cell and atoms, written as POSCAR:
```
Ce2Ho3Ru2
1.0
3.761 0.000 0.000
-1.881 5.898 -0.288
0.000 -3.084 8.339
Ho Ru Ce
3 2 2
direct
0.500 0.000 0.000
0.617 0.234 0.419
0.383 0.766 0.581
0.196 0.392 0.234
0.804 0.608 0.766
0.830 0.660 0.190
0.170 0.340 0.810
```

DFT formation energy = -324 meV per atom